# 1
The following is a PBE-GGA calculation of crystalline PmMgNi at its relaxed geometry, from Alexandria.

Summary:
The calculation puts the density of states at the Fermi level at 2.1 states/eV/f.u. As for the energy of formation: -13.6 kJ/mol of atoms. The calculation puts the relative energy among the computed polymorphs at 138 meV per atom. The space group is I4mm (107).

Lattice parameters (Å, degrees): 6.204 6.204 6.204 148.67 148.67 44.89
Positions (direct):
Pm 0.000 0.000 0.000
Mg 0.727 0.727 0.000
Ni 0.352 0.352 0.000

# 2
The following is a PBE-GGA calculation of crystalline PmMg6Ni6 at its relaxed geometry, from Alexandria.

Summary:
The calculation puts the density of states at the Fermi level at 7.1 states/eV/f.u. As for the energy of formation: -17.7 kJ/mol of atoms. The space group is Immm (71).

Lattice parameters (Å, degrees): 6.836 6.836 6.836 135.92 99.29 96.90
Positions (direct):
Pm 0.000 0.000 0.000
Mg 0.192 0.692 0.500
Mg 0.336 0.000 0.336
Mg 0.348 0.348 0.000
Mg 0.652 0.652 0.000
Mg 0.664 0.000 0.664
Mg 0.808 0.308 0.500
Ni 0.000 0.000 0.500
Ni 0.000 0.500 0.000
Ni 0.231 0.500 0.731
Ni 0.500 0.000 0.000
Ni 0.500 0.500 0.500
Ni 0.769 0.500 0.269

# 3
The following is a PBE-GGA calculation of crystalline Pm3Mg3Ni2 at its relaxed geometry, from Alexandria.

Summary:
The calculation puts the density of states at the Fermi level at 7.4 states/eV/f.u. As for the energy of formation: -19.4 kJ/mol of atoms. The space group is C2/m (12).

Lattice parameters (Å, degrees): 8.999 8.999 5.224 99.91 99.91 27.50
Positions (direct):
Pm 0.000 0.000 0.000
Pm 0.168 0.168 0.596
Pm 0.832 0.832 0.404
Mg 0.358 0.358 0.920
Mg 0.500 0.500 0.500
Mg 0.642 0.642 0.080
Ni 0.230 0.230 0.125
Ni 0.770 0.770 0.875

# 4
The following is a PBE-GGA calculation of crystalline Pm2MgNi at its relaxed geometry, from Alexandria.

Summary:
The calculation puts the density of states at the Fermi level at 4.5 states/eV/f.u. As for the energy of formation: -4.7 kJ/mol of atoms. The calculation puts the relative energy among the computed polymorphs at 130 meV per atom. The space group is R3m (160).

Lattice parameters (Å, degrees): 8.800 8.800 8.800 25.97 25.97 25.97
Positions (direct):
Pm 0.000 0.000 0.000
Pm 0.211 0.211 0.211
Mg 0.439 0.439 0.439
Ni 0.605 0.605 0.605

# 5
The following is a PBE-GGA calculation of crystalline Pm3Mg2Ni4 at its relaxed geometry, from Alexandria.

Summary:
The calculation puts the density of states at the Fermi level at 5.4 states/eV/f.u. As for the energy of formation: -26.5 kJ/mol of atoms. The space group is C2/m (12).

Lattice parameters (Å, degrees): 5.427 5.427 8.886 94.78 94.78 44.55
Positions (direct):
Pm 0.000 0.000 0.000
Pm 0.372 0.372 0.621
Pm 0.628 0.628 0.379
Mg 0.326 0.326 0.217
Mg 0.674 0.674 0.783
Ni 0.077 0.077 0.615
Ni 0.282 0.282 0.926
Ni 0.718 0.718 0.074
Ni 0.923 0.923 0.385

# 6
The following is a PBE-GGA calculation of crystalline Pm2MgNi at its relaxed geometry, from Alexandria.

Summary:
The calculation puts the density of states at the Fermi level at 3.8 states/eV/f.u. As for the energy of formation: -5.1 kJ/mol of atoms. The calculation puts the relative energy among the computed polymorphs at 126 meV per atom. The space group is Fm-3m (225).

Lattice parameters (Å, degrees): 5.186 5.186 5.186 60.00 60.00 60.00
Positions (direct):
Pm 0.250 0.250 0.250
Pm 0.750 0.750 0.750
Mg 0.000 0.000 0.000
Ni 0.500 0.500 0.500

# 7
The following is a PBE-GGA calculation of crystalline Pm6MgNi3 at its relaxed geometry, from Alexandria.

Summary:
The calculation puts the density of states at the Fermi level at 10.2 states/eV/f.u. As for the energy of formation: -16.2 kJ/mol of atoms. The space group is Cmc2_1 (36).

Lattice parameters (Å, degrees): 8.683 8.683 7.053 90.00 90.00 99.21
Positions (direct):
Pm 0.027 0.428 0.314
Pm 0.039 0.961 0.500
Pm 0.228 0.772 0.140
Pm 0.304 0.370 0.966
Pm 0.370 0.304 0.466
Pm 0.428 0.027 0.814
Pm 0.572 0.973 0.314
Pm 0.630 0.696 0.966
Pm 0.696 0.630 0.466
Pm 0.772 0.228 0.640
Pm 0.961 0.039 0.000
Pm 0.973 0.572 0.814
Mg 0.327 0.673 0.608
Mg 0.673 0.327 0.108
Ni 0.087 0.281 0.685
Ni 0.281 0.087 0.185
Ni 0.416 0.584 0.263
Ni 0.584 0.416 0.763
Ni 0.719 0.913 0.685
Ni 0.913 0.719 0.185

# 8
The following is a PBE-GGA calculation of crystalline Pm5Mg2Ni2 at its relaxed geometry, from Alexandria.

Summary:
The calculation puts the density of states at the Fermi level at 8.9 states/eV/f.u. As for the energy of formation: -11.7 kJ/mol of atoms. The space group is Cmce (64).

Lattice parameters (Å, degrees): 8.965 8.965 8.525 90.00 90.00 45.96
Positions (direct):
Pm 0.000 0.000 0.000
Pm 0.044 0.728 0.685
Pm 0.228 0.544 0.185
Pm 0.272 0.956 0.685
Pm 0.456 0.772 0.185
Pm 0.500 0.500 0.500
Pm 0.544 0.228 0.815
Pm 0.728 0.044 0.315
Pm 0.772 0.456 0.815
Pm 0.956 0.272 0.315
Mg 0.219 0.219 0.000
Mg 0.281 0.281 0.500
Mg 0.719 0.719 0.500
Mg 0.781 0.781 0.000
Ni 0.125 0.875 0.394
Ni 0.375 0.625 0.894
Ni 0.625 0.375 0.106
Ni 0.875 0.125 0.606

What did the third record say?
The following is a PBE-GGA calculation of crystalline Pm3Mg3Ni2 at its relaxed geometry, from Alexandria.

Summary:
The calculation puts the density of states at the Fermi level at 7.4 states/eV/f.u. As for the energy of formation: -19.4 kJ/mol of atoms. The space group is C2/m (12).

Lattice parameters (Å, degrees): 8.999 8.999 5.224 99.91 99.91 27.50
Positions (direct):
Pm 0.000 0.000 0.000
Pm 0.168 0.168 0.596
Pm 0.832 0.832 0.404
Mg 0.358 0.358 0.920
Mg 0.500 0.500 0.500
Mg 0.642 0.642 0.080
Ni 0.230 0.230 0.125
Ni 0.770 0.770 0.875